A relaxed structure of SrLiCo2, computed with PBE-GGA.

Computed properties:
ΔE_f: 569.7 meV per atom
Energy relative to the lowest polymorph listed for this composition: 377.6 meV/atom
Total energy: -3.882 eV/atom
Total magnetization: 0.653 μB/atom
Space group: I-42d (122)
N(E_F): 13.0 states/eV/cell

a b c (Å): 9.205 9.205 9.205
angles (deg): 151.72 151.72 40.42
Atoms (fractional coordinates):
Sr 0.000 0.000 0.000
Sr 0.750 0.250 0.500
Li 0.250 0.750 0.500
Li 0.500 0.500 0.000
Co 0.359 0.125 0.734
Co 0.375 0.641 0.766
Co 0.391 0.625 0.266
Co 0.875 0.609 0.234